# NiPt3Rh (PBE, relaxed)
# Energy above the most stable polymorph in this dataset (meV/atom): 1128
# Calculated total energy (eV/cell): -25.44
# Formation enthalpy at 0 K (meV/atom): 1163
data_NiPt3Rh
_symmetry_space_group_name_H-M 'P m -3 m'
_symmetry_Int_Tables_number 221
_symmetry_space_group_name_Hall '-P 4 2 3'
_cell_length_a 4.4962
_cell_length_b 4.4962
_cell_length_c 4.4962
_cell_angle_alpha 90.00
_cell_angle_beta 90.00
_cell_angle_gamma 90.00
loop_
_atom_site_label
_atom_site_fract_x
_atom_site_fract_y
_atom_site_fract_z
Ni1 0.0000 0.0000 0.0000
Pt1 0.0000 0.0000 0.5000
Rh1 0.5000 0.5000 0.5000